VASP calculation (GGA+U) on a relaxed Li2CoNiF8 crystal.

```
data_Li2CoNiF8
_chemical_formula_sum 'Li4 Co2 Ni2 F16'
_cell_length_a 6.384
_cell_length_b 6.750
_cell_length_c 6.084
_cell_angle_alpha 90.00
_cell_angle_beta 90.00
_cell_angle_gamma 90.00
_symmetry_space_group_name_H-M 'C m m m'
_symmetry_Int_Tables_number 65
_symmetry_space_group_name_Hall '-C 2 2'
loop_
_atom_site_label
_atom_site_type_symbol
_atom_site_fract_x
_atom_site_fract_y
_atom_site_fract_z
Li1 Li 0.000 0.000 0.246
Co1 Co 0.000 0.500 0.500
Ni1 Ni 0.000 0.500 0.000
F1 F 0.000 0.312 0.246
F2 F 0.210 0.000 0.000
F3 F 0.212 0.000 0.500
```

Computed properties:
Total energy, eV per atom: -4.430